Arrangement A

Entry from Alexandria via LeMat-Bulk: CdFe2Os after structural relaxation (PBE).

Unit cell a=3.0797 b=3.0797 c=6.1530 alpha=90.00 beta=90.00 gamma=90.00
Closest atoms and distances in Å follow each position.
Element x y z (fractional)
Cd 0.5000 0.5000 0.7500  8 Fe 2.81, 2 Os 3.08, 4 Cd 3.08
Fe 0.0000 0.0000 0.0391  4 Os 2.54, 1 Fe 2.60, 4 Cd 2.81
Fe 0.0000 0.0000 0.4609  4 Os 2.54, 1 Fe 2.60, 4 Cd 2.81
Os 0.5000 0.5000 0.2500  8 Fe 2.54

Results
The magnetization comes out at 1.2564 μB/atom.

=====

Arrangement B

Entry from Alexandria via LeMat-Bulk: CdFe2Os after structural relaxation (PBE).

Unit cell a=2.6868 b=2.6868 c=8.9058 alpha=90.00 beta=90.00 gamma=114.01
Closest atoms and distances in Å follow each position.
Element x y z (fractional)
Cd 0.5000 0.5000 0.7586  6 Cd 2.69-2.93, 2 Fe 2.80, 2 Os 2.93
Fe 0.0000 0.0000 0.0267  6 Fe 2.41-2.69
Fe 0.5000 0.5000 0.2412  6 Fe 2.41-2.69, 2 Os 2.53
Os 0.0000 0.0000 0.4735  2 Fe 2.53, 4 Os 2.69

Results
The magnetization comes out at 1.3580 μB/atom.

=====

Arrangement C

Entry from Alexandria via LeMat-Bulk: CdFe2Os after structural relaxation (PBE).

Unit cell a=5.2284 b=5.2284 c=5.2284 alpha=148.54 beta=128.99 gamma=61.17
Closest atoms and distances in Å follow each position.
Element x y z (fractional)
Cd 0.7570 0.2570 0.5000  6 Fe 2.66-2.76, 2 Cd 2.84, 2 Os 2.87
Fe 0.0201 0.0201 0.0000  2 Fe 2.46, 4 Os 2.69
Fe 0.2430 0.7430 0.5000  2 Fe 2.46, 2 Os 2.56, 4 Cd 2.66
Os 0.4798 0.4798 0.0000  6 Fe 2.56-2.69, 2 Os 2.84

Results
The magnetization comes out at 1.3245 μB/atom.

=====

Arrangement D

Entry from Alexandria via LeMat-Bulk: CdFe2Os after structural relaxation (PBE).

Unit cell a=2.7184 b=2.7184 c=7.6920 alpha=90.00 beta=90.00 gamma=90.00
Closest atoms and distances in Å follow each position.
Element x y z (fractional)
Cd 0.5000 0.5000 0.7500  4 Cd 2.72, 8 Fe 2.86
Fe 0.0000 0.0000 0.0255  4 Os 2.58, 4 Fe 2.72, 4 Cd 2.86
Fe 0.0000 0.0000 0.4745  4 Os 2.58, 4 Fe 2.72, 4 Cd 2.86
Os 0.5000 0.5000 0.2500  8 Fe 2.58, 4 Os 2.72

Results
The magnetization comes out at 0.8924 μB/atom.

=====

Of them, the most stable is arrangement D and the least stable is arrangement C.

=====

Arrangement A

Entry from Alexandria via LeMat-Bulk: CdFe2Os after structural relaxation (PBE).

Unit cell a=2.6581 b=4.9661 c=5.4145 alpha=54.81 beta=90.00 gamma=90.00
Closest atoms and distances in Å follow each position.
Element x y z (fractional)
Cd 0.0000 0.0000 0.5000  2 Cd 2.66, 6 Fe 2.71-2.74, 4 Os 2.82
Fe 0.0000 0.0000 0.0000  6 Fe 2.66-2.82, 2 Cd 2.71, 4 Os 2.74
Fe 0.5000 0.5000 0.0000  6 Fe 2.66-2.82, 2 Os 2.71, 4 Cd 2.74
Os 0.5000 0.5000 0.5000  2 Os 2.66, 6 Fe 2.71-2.74, 4 Cd 2.82

Results
The magnetization comes out at 1.4135 μB/atom.

=====

Arrangement B

Entry from Alexandria via LeMat-Bulk: CdFe2Os after structural relaxation (PBE).

Unit cell a=4.6154 b=4.6154 c=4.9378 alpha=81.39 beta=81.39 gamma=34.64
Closest atoms and distances in Å follow each position.
Element x y z (fractional)
Cd 0.7500 0.7500 0.7500  2 Cd 2.75, 6 Fe 2.79-2.86, 4 Os 2.83
Fe 0.9922 0.9922 0.0511  2 Fe 2.42, 3 Os 2.60-2.61
Fe 0.5078 0.5078 0.4489  2 Fe 2.42, 3 Os 2.60-2.61
Os 0.2500 0.2500 0.2500  6 Fe 2.60-2.61, 2 Os 2.75, 4 Cd 2.83

Results
The magnetization comes out at 1.1318 μB/atom.

=====

Of them, the most stable is arrangement B and the least stable is arrangement A.